The following is a PBE with a Hubbard U calculation of a geometry-optimized NaSbMoO5 structure, from Alexandria.

abc: 11.235 5.743 8.665
angles: 77.55 90.00 90.00
Positions (direct):
Na: 0.359 0.466 0.578
Na: 0.141 0.966 0.578
Na: 0.859 0.034 0.422
Na: 0.641 0.534 0.422
Sb: 0.166 0.172 0.947
Sb: 0.834 0.828 0.053
Sb: 0.666 0.328 0.053
Sb: 0.334 0.672 0.947
Mo: 0.410 0.056 0.293
Mo: 0.090 0.556 0.293
Mo: 0.590 0.944 0.707
Mo: 0.910 0.444 0.707
O: 0.959 0.751 0.249
O: 0.816 0.340 0.571
O: 0.541 0.251 0.249
O: 0.957 0.740 0.626
O: 0.168 0.563 0.108
O: 0.332 0.063 0.108
O: 0.457 0.760 0.374
O: 0.543 0.240 0.626
O: 0.735 0.560 0.171
O: 0.459 0.749 0.751
O: 0.316 0.160 0.429
O: 0.235 0.940 0.829
O: 0.684 0.840 0.571
O: 0.668 0.937 0.892
O: 0.265 0.440 0.829
O: 0.043 0.260 0.374
O: 0.832 0.437 0.892
O: 0.041 0.249 0.751
O: 0.765 0.060 0.171
O: 0.184 0.660 0.429

Results
- Density of states at the Fermi level: 0.000 states/eV/atom
- Electronic total energy: -6.31 eV/atom
- SG: P2_1/c
- Density: 3.90 g cm⁻³